1.
DFT (GGA-PBE) results for a relaxed AcPrP2 crystal.

a b c (Å): 5.2386 5.2386 3.6803
angles (deg): 90.00 90.00 90.00
Space group P4/mmm (No. 123)
Symmetry-distinct sites (fractional):
Ac 0.0000 0.0000 0.0000 (multiplicity 1)
Pr 0.5000 0.5000 0.0000 (multiplicity 1)
P 0.0000 0.5000 0.5000 (multiplicity 2)

Computed properties:
Crystal system: tetragonal
Distance to the lowest polymorph of the same formula in kJ/mol of formula units: 165

=====

2.
DFT (GGA-PBE) results for a relaxed LiNdNiBi crystal.

a b c (Å): 6.8549 6.8549 6.8549
angles (deg): 90.00 90.00 90.00
Space group F-43m (No. 216)
Symmetry-distinct sites (fractional):
Li 0.0000 0.0000 0.0000 (multiplicity 4)
Nd 0.2500 0.2500 0.2500 (multiplicity 4)
Ni 0.0000 0.0000 0.5000 (multiplicity 4)
Bi 0.2500 0.2500 0.7500 (multiplicity 4)

Computed properties:
Crystal system: cubic

=====

3.
DFT (GGA-PBE) results for a relaxed MnPt2Au crystal.

a b c (Å): 2.8593 3.9306 5.6727
angles (deg): 90.00 90.50 90.00
Space group Pm (No. 6)
Symmetry-distinct sites (fractional):
Mn 0.0000 0.0000 0.0000 (multiplicity 1)
Pt 0.9995 0.0000 0.4813 (multiplicity 1)
Pt 0.4980 0.5000 0.2259 (multiplicity 1)
Au 0.5007 0.5000 0.7396 (multiplicity 1)

Computed properties:
Crystal system: monoclinic

=====

4.
DFT (GGA-PBE) results for a relaxed DyZnAgRh crystal.

a b c (Å): 6.6545 6.6545 6.6545
angles (deg): 90.00 90.00 90.00
Space group F-43m (No. 216)
Symmetry-distinct sites (fractional):
Dy 0.0000 0.0000 0.0000 (multiplicity 4)
Zn 0.0000 0.0000 0.5000 (multiplicity 4)
Ag 0.2500 0.2500 0.7500 (multiplicity 4)
Rh 0.2500 0.2500 0.2500 (multiplicity 4)

Computed properties:
Crystal system: cubic

=====

Record order is preserved below.
Ρ: 7.1; 8.6; 16.7; 9.9 g cm⁻³
Record order is preserved below.
ΔE_f: -1.0490; -0.3635; -0.1646; -0.3903 eV per atom